No. 1
# CuNi2PdPt5

A geometry-optimized CuNi2PdPt5 structure (GGA-PBE, Alexandria).

Volume, Å³/cell: 272
Formation energy from the elements, eV per formula unit: 2.30
Fermi-level density of states, states/eV per cell: 27.722

Cell lengths 8.6065, 8.6065, 8.6065 Å; angles 138.97, 138.97, 59.42 degrees
Positions (direct):
Cu  0.2500  0.2500  0.0000
Cu  0.7500  0.7500  0.0000
Ni  0.1213  0.6213  0.7426
Ni  0.3787  0.1213  0.5000
Ni  0.6213  0.8787  0.5000
Ni  0.8787  0.3787  0.2574
Pd  0.2500  0.7500  0.5000
Pd  0.7500  0.2500  0.5000
Pt  0.0000  0.0000  0.0000
Pt  0.0924  0.1344  0.5000
Pt  0.1344  0.6344  0.0420
Pt  0.3656  0.4076  0.5000
Pt  0.4076  0.9076  0.0420
Pt  0.5000  0.5000  0.0000
Pt  0.5924  0.0924  0.9580
Pt  0.6344  0.5924  0.5000
Pt  0.8656  0.3656  0.9580
Pt  0.9076  0.8656  0.5000

=====

No. 2
# Ti7Sn2Bi2

A geometry-optimized Ti7Sn2Bi2 structure (GGA-PBE, Alexandria).

Volume, Å³/cell: 253
Formation energy from the elements, eV per formula unit: 2.56
Fermi-level density of states, states/eV per cell: 12.323

Cell lengths 6.6416, 6.6416, 5.7813 Å; angles 90.00, 90.00, 96.53 degrees
Positions (direct):
Ti  0.0000  0.0000  0.0000
Ti  0.0000  0.5000  0.2679
Ti  0.0000  0.5000  0.7321
Ti  0.5000  0.0000  0.2679
Ti  0.5000  0.0000  0.7321
Ti  0.5000  0.5000  0.2736
Ti  0.5000  0.5000  0.7264
Sn  0.2735  0.7265  0.0000
Sn  0.7265  0.2735  0.0000
Bi  0.1910  0.1910  0.5000
Bi  0.8090  0.8090  0.5000

=====

No. 3
# Ba5C4

A geometry-optimized Ba5C4 structure (GGA-PBE, Alexandria).

Volume, Å³/cell: 483
Polymorph energy (0 for the lowest one), meV/atom: 0
Formation energy from the elements, eV per formula unit: 10.48
Fermi-level density of states, states/eV per cell: 13.724

Cell lengths 8.3935, 8.3935, 7.9110 Å; angles 90.00, 90.00, 120.00 degrees
Positions (direct):
Ba  0.0000  0.2458  0.2500
Ba  0.0000  0.7542  0.7500
Ba  0.2458  0.0000  0.2500
Ba  0.2458  0.2458  0.7500
Ba  0.3333  0.6667  0.0000
Ba  0.3333  0.6667  0.5000
Ba  0.6667  0.3333  0.0000
Ba  0.6667  0.3333  0.5000
Ba  0.7542  0.0000  0.7500
Ba  0.7542  0.7542  0.2500
C  0.0000  0.0000  0.0000
C  0.0000  0.0000  0.5000
C  0.0000  0.4172  0.7500
C  0.0000  0.5828  0.2500
C  0.4172  0.0000  0.7500
C  0.4172  0.4172  0.2500
C  0.5828  0.0000  0.2500
C  0.5828  0.5828  0.7500

=====

No. 4
# ZrAlBr2

A geometry-optimized ZrAlBr2 structure (GGA-PBE, Alexandria).

Volume, Å³/cell: 256
Polymorph energy (0 for the lowest one), meV/atom: 498
Fermi-level density of states, states/eV per cell: 8.522

Cell lengths 7.2844, 7.2844, 7.2844 Å; angles 98.75, 98.75, 134.09 degrees
Positions (direct):
Zr  0.0000  0.0000  0.0000
Zr  0.7500  0.2500  0.5000
Al  0.2500  0.7500  0.5000
Al  0.5000  0.5000  0.0000
Br  0.3750  0.2369  0.3619
Br  0.7631  0.1250  0.1381
Br  0.8750  0.0131  0.6381
Br  0.9869  0.6250  0.8619

=====

No. 5
# LaBeCd2Sb

A geometry-optimized LaBeCd2Sb structure (GGA-PBE, Alexandria).

Volume, Å³/cell: 144
Fermi-level density of states, states/eV per cell: 3.836
Energy, eV per cell: -12.479

Cell lengths 5.6936, 5.6936, 4.4350 Å; angles 90.00, 90.00, 90.00 degrees
Positions (direct):
La  0.0000  0.0000  0.0000
Be  0.5000  0.5000  0.0000
Cd  0.0000  0.5000  0.5000
Cd  0.5000  0.0000  0.5000
Sb  0.5000  0.5000  0.5000

=====

No. 6
# CaHRu

A geometry-optimized CaHRu structure (GGA-PBE, Alexandria).

Volume, Å³/cell: 86
Polymorph energy (0 for the lowest one), meV/atom: 58
Fermi-level density of states, states/eV per cell: 2.662

Cell lengths 6.0300, 6.0300, 5.0506 Å; angles 113.96, 113.96, 31.16 degrees
Positions (direct):
Ca  0.0000  0.0000  0.0000
Ca  0.2147  0.2147  0.7597
H  0.6073  0.6073  0.3894
H  0.6383  0.6383  0.9736
Ru  0.4473  0.4473  0.4288
Ru  0.7601  0.7601  0.3162

=====

No. 7
# Sr2CdBr

A geometry-optimized Sr2CdBr structure (GGA-PBE, Alexandria).

Volume, Å³/cell: 156
Polymorph energy (0 for the lowest one), meV/atom: 625
Fermi-level density of states, states/eV per cell: 4.808

Cell lengths 6.0406, 6.0406, 6.0406 Å; angles 60.00, 60.00, 60.00 degrees
Positions (direct):
Sr  0.0000  0.0000  0.0000
Sr  0.2500  0.2500  0.2500
Cd  0.5000  0.5000  0.5000
Br  0.7500  0.7500  0.7500

=====

No. 8
# NaZrNiAs2

A geometry-optimized NaZrNiAs2 structure (GGA-PBE, Alexandria).

Volume, Å³/cell: 132
Formation energy from the elements, eV per formula unit: 1.24
Fermi-level density of states, states/eV per cell: 6.100

Cell lengths 5.1993, 5.1993, 4.8701 Å; angles 90.00, 90.00, 90.00 degrees
Positions (direct):
Na  0.0000  0.0000  0.0000
Zr  0.5000  0.5000  0.5000
Ni  0.5000  0.5000  0.0000
As  0.0000  0.5000  0.5000
As  0.5000  0.0000  0.5000

=====

No. 9
# BaCd2GaHg

A geometry-optimized BaCd2GaHg structure (GGA-PBE, Alexandria).

Volume, Å³/cell: 155
Formation energy from the elements, eV per formula unit: -0.65
Fermi-level density of states, states/eV per cell: 3.257

Cell lengths 5.3487, 5.3487, 5.4091 Å; angles 90.00, 90.00, 90.00 degrees
Positions (direct):
Ba  0.0000  0.0000  0.0000
Cd  0.0000  0.5000  0.5000
Cd  0.5000  0.0000  0.5000
Ga  0.5000  0.5000  0.5000
Hg  0.5000  0.5000  0.0000

=====

No. 10
# Sm2AlAu

A geometry-optimized Sm2AlAu structure (GGA-PBE, Alexandria).

Volume, Å³/cell: 100
Polymorph energy (0 for the lowest one), meV/atom: 1
Formation energy from the elements, eV per formula unit: -2.27
Fermi-level density of states, states/eV per cell: 3.245

Cell lengths 3.6257, 3.6257, 7.6303 Å; angles 90.00, 90.00, 90.00 degrees
Positions (direct):
Sm  0.0000  0.0000  0.2453
Sm  0.0000  0.0000  0.7547
Al  0.5000  0.5000  0.5000
Au  0.5000  0.5000  0.0000

=====

No. 11
# LuHfRe

A geometry-optimized LuHfRe structure (GGA-PBE, Alexandria).

Volume, Å³/cell: 65
Formation energy from the elements, eV per formula unit: -0.31
Fermi-level density of states, states/eV per cell: 1.033

Cell lengths 6.1951, 6.1951, 6.1951 Å; angles 148.43, 148.43, 45.25 degrees
Positions (direct):
Lu  0.0000  0.0000  0.0000
Hf  0.2733  0.2733  0.0000
Re  0.6541  0.6541  0.0000

=====

No. 12
# Pm2PrAg3

A geometry-optimized Pm2PrAg3 structure (GGA-PBE, Alexandria).

Volume, Å³/cell: 158
Formation energy from the elements, eV per formula unit: -1.59
Fermi-level density of states, states/eV per cell: 4.335

Cell lengths 3.7342, 3.7342, 11.3289 Å; angles 90.00, 90.00, 90.00 degrees
Positions (direct):
Pm  0.0000  0.0000  0.1649
Pm  0.0000  0.0000  0.8351
Pr  0.0000  0.0000  0.5000
Ag  0.5000  0.5000  0.0000
Ag  0.5000  0.5000  0.3269
Ag  0.5000  0.5000  0.6731

=====

No. 13
# TlSnSbI2

A geometry-optimized TlSnSbI2 structure (GGA-PBE, Alexandria).

Volume, Å³/cell: 226
Polymorph energy (0 for the lowest one), meV/atom: 0
Fermi-level density of states, states/eV per cell: 3.323

Cell lengths 6.1812, 6.1812, 5.9055 Å; angles 90.00, 90.00, 90.00 degrees
Positions (direct):
Tl  0.0000  0.0000  0.0000
Sn  0.5000  0.5000  0.5000
Sb  0.5000  0.5000  0.0000
I  0.0000  0.5000  0.5000
I  0.5000  0.0000  0.5000

=====

No. 14
# AlRe2Mo

A geometry-optimized AlRe2Mo structure (GGA-PBE, Alexandria).

Volume, Å³/cell: 60
Formation energy from the elements, eV per formula unit: -0.12
Fermi-level density of states, states/eV per cell: 1.591

Cell lengths 4.3895, 4.3895, 4.3895 Å; angles 60.00, 60.00, 60.00 degrees
Positions (direct):
Al  0.0000  0.0000  0.0000
Re  0.5000  0.5000  0.5000
Re  0.7500  0.7500  0.7500
Mo  0.2500  0.2500  0.2500

=====

No. 15
# MgNpGaIr

A geometry-optimized MgNpGaIr structure (GGA-PBE, Alexandria).

Volume, Å³/cell: 76
Formation energy from the elements, eV per formula unit: -0.69
Fermi-level density of states, states/eV per cell: 9.189

Cell lengths 4.7570, 4.7570, 4.7570 Å; angles 60.00, 60.00, 60.00 degrees
Positions (direct):
Mg  0.0000  0.0000  0.0000
Np  0.5000  0.5000  0.5000
Ga  0.2500  0.2500  0.2500
Ir  0.7500  0.7500  0.7500

=====

No. 16
# Mg5Pd2Pb2

A geometry-optimized Mg5Pd2Pb2 structure (GGA-PBE, Alexandria).

Volume, Å³/cell: 401
Formation energy from the elements, eV per formula unit: -3.03
Fermi-level density of states, states/eV per cell: 7.639

Cell lengths 8.7814, 8.7814, 7.0942 Å; angles 90.00, 90.00, 47.10 degrees
Positions (direct):
Mg  0.0000  0.0000  0.0000
Mg  0.0513  0.7271  0.6618
Mg  0.2271  0.5513  0.1618
Mg  0.2729  0.9487  0.6618
Mg  0.4487  0.7729  0.1618
Mg  0.5000  0.5000  0.5000
Mg  0.5513  0.2271  0.8382
Mg  0.7271  0.0513  0.3382
Mg  0.7729  0.4487  0.8382
Mg  0.9487  0.2729  0.3382
Pd  0.1380  0.8620  0.3606
Pd  0.3620  0.6380  0.8606
Pd  0.6380  0.3620  0.1394
Pd  0.8620  0.1380  0.6394
Pb  0.2261  0.2261  0.0000
Pb  0.2739  0.2739  0.5000
Pb  0.7261  0.7261  0.5000
Pb  0.7739  0.7739  0.0000

=====

No. 17
# DySc3

A geometry-optimized DySc3 structure (GGA-PBE, Alexandria).

Volume, Å³/cell: 105
Polymorph energy (0 for the lowest one), meV/atom: 0
Formation energy from the elements, eV per formula unit: 0.09
Fermi-level density of states, states/eV per cell: 7.335

Cell lengths 6.2669, 6.2669, 6.2669 Å; angles 148.54, 65.37, 124.32 degrees
Positions (direct):
Dy  0.0000  0.0000  0.0000
Sc  0.0958  0.3412  0.7546
Sc  0.5051  0.0051  0.5000
Sc  0.5866  0.3412  0.2454

=====

No. 18
# RbCI2O

A geometry-optimized RbCI2O structure (GGA-PBE, Alexandria).

Volume, Å³/cell: 140
Polymorph energy (0 for the lowest one), meV/atom: 0
Fermi-level density of states, states/eV per cell: 3.708

Cell lengths 6.5958, 6.5958, 3.2243 Å; angles 90.00, 90.00, 90.00 degrees
Positions (direct):
Rb  0.0000  0.0000  0.0000
C  0.5000  0.5000  0.5000
I  0.0000  0.5000  0.5000
I  0.5000  0.0000  0.5000
O  0.5000  0.5000  0.0000

=====

No. 19
# Rb2CaAg2Br6

A geometry-optimized Rb2CaAg2Br6 structure (GGA-PBE, Alexandria).

Volume, Å³/cell: 404
Fermi-level density of states, states/eV per cell: 0.000
Energy, eV per cell: -33.924

Cell lengths 8.1856, 8.1856, 8.1109 Å; angles 115.68, 115.68, 59.14 degrees
Positions (direct):
Rb  0.2356  0.2356  0.1926
Rb  0.7644  0.7644  0.8074
Ca  0.0000  0.0000  0.5000
Ag  0.4395  0.4395  0.7862
Ag  0.5605  0.5605  0.2138
Br  0.1828  0.6980  0.1963
Br  0.2282  0.2282  0.6098
Br  0.3020  0.8172  0.8037
Br  0.6980  0.1828  0.1963
Br  0.7718  0.7718  0.3902
Br  0.8172  0.3020  0.8037

=====

No. 20
# LiCd2In

A geometry-optimized LiCd2In structure (GGA-PBE, Alexandria).

Volume, Å³/cell: 88
Formation energy from the elements, eV per formula unit: -0.40
Fermi-level density of states, states/eV per cell: 1.533

Cell lengths 3.0410, 5.3864, 6.1825 Å; angles 114.91, 103.89, 90.39 degrees
Positions (direct):
Li  0.0000  0.0000  0.0000
Cd  0.0000  0.5000  0.5000
Cd  0.5000  0.0000  0.5000
In  0.5000  0.5000  0.0000